Crystalline KVZnCd2 at its relaxed geometry. Source: Alexandria via LeMat-Bulk, functional GGA-PBE.

Lattice parameters (Å, degrees): 5.480 5.480 6.290 90.00 90.00 90.00
Space group P4/mmm (No. 123)
Symmetry-distinct sites (fractional):
K1 0.000 0.000 0.000 x1
V1 0.000 0.000 0.500 x1
Zn1 0.500 0.500 0.000 x1
Cd1 0.000 0.500 0.500 x2

Output
The value obtained for the energy relative to the elements is 0.801 eV per atom. As for the total energy: -1.863 eV/atom. The calculation puts the density of states at the Fermi level at 0.58 states/eV per atom.



Crystalline MnBe4Ag at its relaxed geometry. Source: Alexandria via LeMat-Bulk, functional GGA-PBE.

Lattice parameters (Å, degrees): 6.277 6.277 6.277 90.00 90.00 90.00
Space group F-43m (No. 216)
Symmetry-distinct sites (fractional):
Mn1 0.000 0.000 0.000 x4
Be1 0.127 0.127 0.627 x16
Ag1 0.250 0.250 0.250 x4

Output
The value obtained for the energy relative to the elements is 0.029 eV per atom. As for the total energy: -4.458 eV/atom. The calculation puts the density of states at the Fermi level at 0.65 states/eV per atom.